Record 1
# USbS2N

Crystalline USbS2N at its relaxed geometry (PBE, Alexandria via LeMat-Bulk).

The structure in CIF format:
```
data_USbS2N
_cell_length_a 3.8699
_cell_length_b 3.8699
_cell_length_c 13.4918
_cell_angle_alpha 90.00
_cell_angle_beta 90.00
_cell_angle_gamma 90.00
_space_group_name_H-M_alt 'P 1'
_space_group_IT_number 1
_space_group_name_Hall 'P 1'
loop_
_atom_site_label
_atom_site_type_symbol
_atom_site_fract_x
_atom_site_fract_y
_atom_site_fract_z
U1 U 0.0000 0.5000 0.4133
S1 S 0.0000 0.5000 0.6878
S2 S 0.5000 0.0000 0.3122
N1 N 0.0000 0.0000 0.5000
S3 S 0.5000 0.0000 0.8833
Sb1 Sb 0.0000 0.5000 0.8748
S4 S 0.0000 0.5000 0.1167
U2 U 0.5000 0.0000 0.5867
Sb2 Sb 0.5000 0.0000 0.1252
N2 N 0.5000 0.5000 0.5000
```

Formation energy (no corrections): -0.8711 eV per atom
Space group: P4/nmm



Record 2
# CoAs2Au

Crystalline CoAs2Au at its relaxed geometry (PBE, Alexandria via LeMat-Bulk).

The structure in CIF format:
```
data_CoAs2Au
_cell_length_a 4.5696
_cell_length_b 4.5696
_cell_length_c 4.5696
_cell_angle_alpha 60.00
_cell_angle_beta 60.00
_cell_angle_gamma 60.00
_space_group_name_H-M_alt 'P 1'
_space_group_IT_number 1
_space_group_name_Hall 'P 1'
loop_
_atom_site_label
_atom_site_type_symbol
_atom_site_fract_x
_atom_site_fract_y
_atom_site_fract_z
As1 As 0.0000 0.0000 0.0000
Au1 Au 0.5000 0.5000 0.5000
Co1 Co 0.7500 0.7500 0.7500
As2 As 0.2500 0.2500 0.2500
```

Formation energy: 0.501 eV/atom
E above lowest polymorph: 571 meV per atom
Space group: F-43m



Record 3
# Ca2PrRh9

Crystalline Ca2PrRh9 at its relaxed geometry (PBE, Alexandria via LeMat-Bulk).

The structure in CIF format:
```
data_Ca2PrRh9
_cell_length_a 5.3199
_cell_length_b 5.3199
_cell_length_c 9.2796
_cell_angle_alpha 73.34
_cell_angle_beta 73.34
_cell_angle_gamma 60.00
_space_group_name_H-M_alt 'P 1'
_space_group_IT_number 1
_space_group_name_Hall 'P 1'
loop_
_atom_site_label
_atom_site_type_symbol
_atom_site_fract_x
_atom_site_fract_y
_atom_site_fract_z
Rh1 Rh 0.5000 0.5000 0.5000
Rh2 Rh 0.5812 0.5812 0.7542
Rh3 Rh 0.0834 0.5812 0.7542
Rh4 Rh 0.4188 0.4188 0.2458
Rh5 Rh 0.4188 0.9166 0.2458
Rh6 Rh 0.6670 0.6670 0.9989
Rh7 Rh 0.9166 0.4188 0.2458
Ca1 Ca 0.1410 0.1410 0.5770
Rh8 Rh 0.5812 0.0834 0.7542
Ca2 Ca 0.8590 0.8590 0.4230
Rh9 Rh 0.3330 0.3330 0.0011
Pr1 Pr 0.0000 0.0000 0.0000
```

Formation energy: -0.359 eV/atom
Space group: R-3m



Record 4
# BaInCo2

Crystalline BaInCo2 at its relaxed geometry (PBE, Alexandria via LeMat-Bulk).

The structure in CIF format:
```
data_BaInCo2
_cell_length_a 3.5313
_cell_length_b 3.5313
_cell_length_c 7.0660
_cell_angle_alpha 90.00
_cell_angle_beta 90.00
_cell_angle_gamma 90.00
_space_group_name_H-M_alt 'P 1'
_space_group_IT_number 1
_space_group_name_Hall 'P 1'
loop_
_atom_site_label
_atom_site_type_symbol
_atom_site_fract_x
_atom_site_fract_y
_atom_site_fract_z
Ba1 Ba 0.5000 0.5000 0.7500
Co1 Co 0.0000 0.0000 0.0899
In1 In 0.5000 0.5000 0.2500
Co2 Co 0.0000 0.0000 0.4101
```

Formation energy: 0.420 eV/atom
Space group: P4/mmm